# ScZnSnIr | Alexandria via LeMat-Bulk | PBE-GGA | optimized geometry
# **ΔE_f**: -1.7 eV per formula unit
# **Symmetry**: F-43m
data_ScZnSnIr
_cell_length_a 4.613
_cell_length_b 4.613
_cell_length_c 4.613
_cell_angle_alpha 60.00
_cell_angle_beta 60.00
_cell_angle_gamma 60.00
_symmetry_space_group_name_H-M 'P 1'
_symmetry_Int_Tables_number 1
loop_
_symmetry_equiv_pos_as_xyz
'x,y,z'
loop_
_atom_site_label
_atom_site_fract_x
_atom_site_fract_y
_atom_site_fract_z
_atom_site_occupancy
Sc1 0.000 0.000 0.000 1
Zn1 0.750 0.750 0.750 1
Ir1 0.500 0.500 0.500 1
Sn1 0.250 0.250 0.250 1